The following is a PBE calculation of a relaxed structure of K2BiBSe4, from Alexandria.

Properties
The symmetry is C2/c, No. 15. The uncorrected formation energy is -0.451 eV/atom. Its crystal system is monoclinic. The calculation puts the final energy at -3.787 eV per atom.

Lattice parameters (Å, degrees): 9.2873 9.2873 8.4705 113.45 113.45 100.92
Last column: nearest neighbours and their distance in Å.
Sites, in units of the cell vectors:
Se (0.3555, 0.3658, 0.5300)  1 B 1.82
K (0.5000, 0.0000, 0.5000)  2 Se 3.15
Se (0.7600, 0.3172, 0.0588)  2 Bi 2.87-2.95, 2 K 3.15-3.20
Se (0.8172, 0.2600, 0.5588)  2 Bi 2.87-2.95, 2 K 3.15-3.20
Bi (0.0000, 0.5000, 0.0000)  4 Se 2.87-2.95
K (0.0000, 0.0000, 0.5000)  4 Se 3.20-3.22
B (0.5000, 0.5000, 0.5000)  2 Se 1.82
Se (0.2400, 0.6828, 0.9412)  2 Bi 2.87-2.95, 2 K 3.15-3.20
K (0.5000, 0.5000, 0.0000)  4 Se 3.20-3.22
Se (0.1828, 0.7400, 0.4412)  2 Bi 2.87-2.95, 2 K 3.15-3.20
Se (0.8658, 0.8555, 0.0300)  1 B 1.82
K (0.5000, 0.0000, 0.0000)  2 Se 3.15
Bi (0.0000, 0.5000, 0.5000)  4 Se 2.87-2.95
Se (0.1342, 0.1445, 0.9700)  1 B 1.82
B (0.0000, 0.0000, 0.0000)  2 Se 1.82
Se (0.6445, 0.6342, 0.4700)  1 B 1.82